Crystalline Mg2Sc2Cl at its relaxed geometry. Source: the Alexandria database, functional PBE.

Final energy ... -3.51 eV/atom
ΔE_f (raw) ... 0.034 eV per atom
Calculated volume ... 121.2 Å³/cell

Cell: 8.715 8.715 8.715 Å, 154.65 154.65 36.16°
Fractional positions:
Mg 0.250 0.750 0.500
Mg 0.750 0.250 0.500
Sc 0.097 0.097 0.000
Sc 0.903 0.903 0.000
Cl 0.500 0.500 0.000